Computed, not measured: a geometry-optimized SiRu2Pt structure at the PBEsol level of DFT.

Its calculated volume is 54.8 Å³ per cell. Its formation energy (no corrections) is 1.7 kJ/mol of atoms.

a b c (Å): 2.7228 4.4841 4.4923
angles (deg): 90.00 90.00 90.00
Sites, in units of the cell vectors:
Ru 0.0000 0.0000 0.0000
Si 0.5000 0.5000 0.0000
Pt 0.0000 0.5000 0.5000
Ru 0.5000 0.0000 0.5000

=====

Computed, not measured: a geometry-optimized Si3RuPt structure at the PBEsol level of DFT.

Its calculated volume is 90.9 Å³ per cell. The value obtained for the energy above the lowest structure with this stoichiometry is 0.0 meV per atom. Its formation energy (no corrections) is 43.3 kJ/mol of atoms.

a b c (Å): 4.4965 4.4965 4.4965
angles (deg): 90.00 90.00 90.00
Sites, in units of the cell vectors:
Si 0.0000 0.5000 0.0000
Ru 0.0000 0.0000 0.0000
Si 0.5000 0.0000 0.0000
Pt 0.5000 0.5000 0.5000
Si 0.0000 0.0000 0.5000

=====

Computed, not measured: a geometry-optimized SiRu2Pt structure at the PBEsol level of DFT.

Its calculated volume is 54.2 Å³ per cell. Its formation energy (no corrections) is -22.8 kJ/mol of atoms.

a b c (Å): 2.7747 3.8635 5.1791
angles (deg): 90.00 102.45 90.00
Sites, in units of the cell vectors:
Ru 0.8704 0.0000 0.2333
Pt 0.5000 0.5000 0.5000
Ru 0.1296 0.0000 0.7667
Si 0.5000 0.5000 0.0000

=====

Computed, not measured: a geometry-optimized Sn2RuPt structure at the PBEsol level of DFT.

Its calculated volume is 69.2 Å³ per cell. The calculation puts the formation energy from the elements at -0.0234 eV per atom.

a b c (Å): 4.6079 4.6079 4.6079
angles (deg): 60.00 60.00 60.00
Sites, in units of the cell vectors:
Pt 0.5000 0.5000 0.5000
Sn 0.7500 0.7500 0.7500
Ru 0.0000 0.0000 0.0000
Sn 0.2500 0.2500 0.2500